The following is a DFT calculation (GGA-PBE) of an optimized crystal structure of YMgAlSe4.

Output
theoretical density	4.261	g/cm³
VASP energy	-4.9589	eV per atom

a = 7.961 Å, b = 7.954 Å, c = 7.954 Å
α = 59.81°, β = 59.97°, γ = 59.97°
Positions (direct):
Se1 0.747 0.243 0.263
Se2 0.253 0.237 0.257
Se3 0.254 0.752 0.252
Se4 0.747 0.763 0.743
Y1 0.000 0.500 0.500
Al1 0.369 0.381 0.881
Mg1 0.500 0.000 0.500
Se5 0.746 0.248 0.748
Y2 0.000 0.000 0.000
Se6 0.253 0.757 0.737
Se7 0.258 0.248 0.748
Al2 0.631 0.619 0.119
Mg2 0.000 0.000 0.500
Se8 0.742 0.752 0.252